Compound: Sn3IrSe
Source: Alexandria
Functional: PBE
Structure: relaxed

## Properties
E_form (uncorrected) ... 1.142 eV/atom
Energy above the most stable polymorph in this dataset ... 1289.3 meV per atom
Spin magnetization ... 0.000 μB per formula unit

Cell lengths 5.273, 5.273, 5.273 Å; angles 90.00, 90.00, 90.00 degrees
Space group Pm-3m (No. 221)
Symmetry-distinct sites (fractional):
Sn  0.000  0.000  0.500 (multiplicity 3)
Ir  0.500  0.500  0.500 (multiplicity 1)
Se  0.000  0.000  0.000 (multiplicity 1)